No. 1
## Sm5HoBi4 (PBE-GGA)

Data for a relaxed Sm5HoBi4 crystal.

abc: 19.284 4.451 8.666
angles: 90.00 105.82 90.00
Space group C2/m (No. 12)
One atom of each set of equivalent atoms:
Sm1 0.000 0.000 0.000 (multiplicity 2)
Sm2 0.164 0.500 0.317 (multiplicity 4)
Sm3 0.179 0.500 0.852 (multiplicity 4)
Ho1 0.000 0.000 0.500 (multiplicity 2)
Bi1 0.008 0.500 0.753 (multiplicity 4)
Bi2 0.168 0.000 0.583 (multiplicity 4)

Calculated volume: 716 Å³/cell
E: -4.90 eV per atom


No. 2
## Cs2AcSnBr6 (PBE-GGA)

Data for a relaxed Cs2AcSnBr6 crystal.

abc: 8.326 13.903 8.717
angles: 90.00 90.00 90.00
Space group Pmmn (No. 59, origin choice 2)
One atom of each set of equivalent atoms:
Cs1 0.250 0.052 0.228 (multiplicity 4)
Ac1 0.250 0.250 0.765 (multiplicity 2)
Sn1 0.250 0.750 0.731 (multiplicity 2)
Br1 0.006 0.250 0.026 (multiplicity 4)
Br2 0.012 0.250 0.503 (multiplicity 4)
Br3 0.250 0.034 0.795 (multiplicity 4)

Calculated volume: 1009 Å³/cell
E: -3.49 eV per atom


No. 3
## AcSmGe (PBE-GGA)

Data for a relaxed AcSmGe crystal.

abc: 7.360 7.360 7.360
angles: 90.00 90.00 90.00
Space group F-43m (No. 216)
One atom of each set of equivalent atoms:
Ac1 0.000 0.000 0.000 (multiplicity 4)
Sm1 0.000 0.000 0.500 (multiplicity 4)
Ge1 0.250 0.250 0.250 (multiplicity 4)

Calculated volume: 399 Å³/cell
ΔE to the lowest computed polymorph: 0.110 eV/atom


No. 4
## Ni2SbAs (PBE-GGA)

Data for a relaxed Ni2SbAs crystal.

abc: 3.8063 3.8063 15.8450
angles: 90.00 90.00 120.00
Space group R-3m (No. 166, hexagonal axes)
One atom of each set of equivalent atoms:
Ni1 0.0000 0.0000 0.2206 (multiplicity 6)
Sb1 0.0000 0.0000 0.0000 (multiplicity 3)
As1 0.0000 0.0000 0.5000 (multiplicity 3)

Calculated volume: 199 Å³/cell
E: -5.16 eV per atom


No. 5
## KCr3 (PBE-GGA)

Data for a relaxed KCr3 crystal.

abc: 2.782 4.176 7.188
angles: 90.00 90.00 90.00
Space group Pmm2 (No. 25)
One atom of each set of equivalent atoms:
K1 0.000 0.000 0.000 (multiplicity 1)
Cr1 0.000 0.500 0.602 (multiplicity 1)
Cr2 0.500 0.000 0.526 (multiplicity 1)
Cr3 0.500 0.500 0.375 (multiplicity 1)

Calculated volume: 84 Å³/cell
ΔE to the lowest computed polymorph: 0.250 eV/atom


No. 6
## Nb2FeAs (PBE-GGA)

Data for a relaxed Nb2FeAs crystal.

abc: 3.821 3.821 18.548
angles: 90.00 90.00 90.00
Space group I-42d (No. 122)
One atom of each set of equivalent atoms:
Nb1 0.246 0.250 0.125 (multiplicity 8)
Fe1 0.000 0.000 0.500 (multiplicity 4)
As1 0.000 0.000 0.000 (multiplicity 4)

Calculated volume: 271 Å³/cell
E: -7.89 eV per atom


No. 7
## HfTc2Au (PBE-GGA)

Data for a relaxed HfTc2Au crystal.

abc: 6.453 6.453 6.453
angles: 90.00 90.00 90.00
Space group Fm-3m (No. 225)
One atom of each set of equivalent atoms:
Hf1 0.000 0.000 0.000 (multiplicity 4)
Tc1 0.250 0.250 0.250 (multiplicity 8)
Au1 0.000 0.000 0.500 (multiplicity 4)

Calculated volume: 269 Å³/cell
ΔE to the lowest computed polymorph: 0.000 eV/atom


No. 8
## Be2CdPb (PBE-GGA)

Data for a relaxed Be2CdPb crystal.

abc: 6.750 6.750 6.750
angles: 90.00 90.00 90.00
Space group F-43m (No. 216)
One atom of each set of equivalent atoms:
Be1 0.000 0.000 0.000 (multiplicity 4)
Be2 0.250 0.250 0.250 (multiplicity 4)
Cd1 0.000 0.000 0.500 (multiplicity 4)
Pb1 0.250 0.250 0.750 (multiplicity 4)

Calculated volume: 308 Å³/cell
ΔE to the lowest computed polymorph: 0.476 eV/atom


No. 9
## AgPd2O2 (PBE-GGA)

Data for a relaxed AgPd2O2 crystal.

abc: 8.421 7.980 5.750
angles: 90.00 131.27 90.00
Space group C2/c (No. 15)
One atom of each set of equivalent atoms:
Ag1 0.000 0.154 0.250 (multiplicity 4)
Pd1 0.000 0.500 0.000 (multiplicity 4)
Pd2 0.250 0.250 0.000 (multiplicity 4)
O1 0.200 0.064 0.737 (multiplicity 8)

Calculated volume: 290 Å³/cell
E: -4.76 eV per atom


No. 10
## CsPmAuS2 (PBE-GGA)

Data for a relaxed CsPmAuS2 crystal.

abc: 8.040 5.149 7.979
angles: 90.00 101.28 90.00
Space group P2/c (No. 13)
One atom of each set of equivalent atoms:
Cs1 0.000 0.168 0.250 (multiplicity 2)
Pm1 0.500 0.494 0.750 (multiplicity 2)
Au1 0.500 0.000 0.000 (multiplicity 2)
S1 0.279 0.326 0.959 (multiplicity 4)

Calculated volume: 324 Å³/cell
E: -4.58 eV per atom


No. 11
## Nd2TlIr (PBE-GGA)

Data for a relaxed Nd2TlIr crystal.

abc: 4.1532 4.1532 24.3909
angles: 90.00 90.00 120.00
Space group R3m (No. 160, hexagonal axes)
One atom of each set of equivalent atoms:
Nd1 0.0000 0.0000 0.0000 (multiplicity 3)
Nd2 0.0000 0.0000 0.2058 (multiplicity 3)
Tl1 0.0000 0.0000 0.7690 (multiplicity 3)
Ir1 0.0000 0.0000 0.6035 (multiplicity 3)

Calculated volume: 364 Å³/cell
ΔE to the lowest computed polymorph: 0.029 eV/atom


No. 12
## ScCu8Pd6 (PBE-GGA)

Data for a relaxed ScCu8Pd6 crystal.

abc: 7.1338 7.1338 15.0857
angles: 90.00 90.00 120.00
Space group R-3 (No. 148, hexagonal axes)
One atom of each set of equivalent atoms:
Sc1 0.0000 0.0000 0.0000 (multiplicity 3)
Cu1 0.0000 0.0000 0.2291 (multiplicity 6)
Cu2 0.0050 0.6779 0.8626 (multiplicity 18)
Pd1 0.0283 0.2508 0.6321 (multiplicity 18)

Calculated volume: 665 Å³/cell
E: -4.78 eV per atom


No. 13
## PmPrAgPd (PBE-GGA)

Data for a relaxed PmPrAgPd crystal.

abc: 4.805 3.914 11.064
angles: 90.00 90.00 90.00
Space group Amm2 (No. 38)
One atom of each set of equivalent atoms:
Pm1 0.000 0.000 0.000 (multiplicity 2)
Pr1 0.500 0.000 0.722 (multiplicity 2)
Ag1 0.000 0.000 0.283 (multiplicity 2)
Pd1 0.500 0.000 0.444 (multiplicity 2)

Calculated volume: 208 Å³/cell
ΔE to the lowest computed polymorph: 0.000 eV/atom


No. 14
## CsRb4Cd (PBE-GGA)

Data for a relaxed CsRb4Cd crystal.

abc: 12.900 12.900 12.900
angles: 90.00 90.00 90.00
Space group F-43m (No. 216)
One atom of each set of equivalent atoms:
Cs1 0.000 0.000 0.000 (multiplicity 4)
Rb1 0.124 0.124 0.376 (multiplicity 16)
Cd1 0.250 0.250 0.750 (multiplicity 4)

Calculated volume: 2147 Å³/cell
ΔE to the lowest computed polymorph: 0.148 eV/atom


No. 15
## CuAs2Ir (PBE-GGA)

Data for a relaxed CuAs2Ir crystal.

abc: 7.989 3.023 6.343
angles: 90.00 110.16 90.00
Space group Cm (No. 8)
One atom of each set of equivalent atoms:
Cu1 0.000 0.000 0.000 (multiplicity 2)
As1 0.258 0.500 0.129 (multiplicity 2)
As2 0.451 0.000 0.590 (multiplicity 2)
Ir1 0.212 0.000 0.762 (multiplicity 2)

Calculated volume: 144 Å³/cell
ΔE to the lowest computed polymorph: 0.010 eV/atom


No. 16
## LiCa3 (PBE-GGA)

Data for a relaxed LiCa3 crystal.

abc: 5.308 5.308 5.308
angles: 90.00 90.00 90.00
Space group Pm-3m (No. 221)
One atom of each set of equivalent atoms:
Li1 0.000 0.000 0.000 (multiplicity 1)
Ca1 0.000 0.500 0.500 (multiplicity 3)

Calculated volume: 150 Å³/cell
ΔE to the lowest computed polymorph: 0.029 eV/atom


No. 17
## SmGdGa2 (PBE-GGA)

Data for a relaxed SmGdGa2 crystal.

abc: 3.7246 3.7246 26.3979
angles: 90.00 90.00 120.00
Space group R-3m (No. 166, hexagonal axes)
One atom of each set of equivalent atoms:
Sm1 0.0000 0.0000 0.0000 (multiplicity 3)
Gd1 0.0000 0.0000 0.5000 (multiplicity 3)
Ga1 0.0000 0.0000 0.2493 (multiplicity 6)

Calculated volume: 317 Å³/cell
ΔE to the lowest computed polymorph: 0.188 eV/atom


No. 18
## ReNiHgRh2 (PBE-GGA)

Data for a relaxed ReNiHgRh2 crystal.

abc: 4.705 4.705 4.504
angles: 90.00 90.00 90.00
Space group P4/mmm (No. 123)
One atom of each set of equivalent atoms:
Re1 0.000 0.000 0.000 (multiplicity 1)
Ni1 0.000 0.000 0.500 (multiplicity 1)
Hg1 0.500 0.500 0.500 (multiplicity 1)
Rh1 0.000 0.500 0.000 (multiplicity 2)

Calculated volume: 100 Å³/cell
E: -5.51 eV per atom


No. 19
## BeTlCo3 (PBE-GGA)

Data for a relaxed BeTlCo3 crystal.

abc: 4.003 4.003 4.003
angles: 90.00 90.00 90.00
Space group Pm-3m (No. 221)
One atom of each set of equivalent atoms:
Be1 0.000 0.000 0.000 (multiplicity 1)
Tl1 0.500 0.500 0.500 (multiplicity 1)
Co1 0.000 0.000 0.500 (multiplicity 3)

Calculated volume: 64 Å³/cell
ΔE to the lowest computed polymorph: 0.000 eV/atom


No. 20
## HoZrPb (PBE-GGA)

Data for a relaxed HoZrPb crystal.

abc: 3.897 3.897 10.129
angles: 90.00 90.00 90.00
Space group I4mm (No. 107)
One atom of each set of equivalent atoms:
Ho1 0.000 0.000 0.000 (multiplicity 2)
Zr1 0.000 0.000 0.324 (multiplicity 2)
Pb1 0.000 0.000 0.672 (multiplicity 2)

Calculated volume: 154 Å³/cell
ΔE to the lowest computed polymorph: 0.237 eV/atom


No. 21
## Sm3Ho4Tm (PBE-GGA)

Data for a relaxed Sm3Ho4Tm crystal.

abc: 3.474 11.599 12.884
angles: 90.00 90.00 90.00
Space group Immm (No. 71)
One atom of each set of equivalent atoms:
Sm1 0.000 0.000 0.000 (multiplicity 2)
Sm2 0.000 0.500 0.243 (multiplicity 4)
Ho1 0.000 0.245 0.365 (multiplicity 8)
Tm1 0.000 0.000 0.500 (multiplicity 2)

Calculated volume: 519 Å³/cell
ΔE to the lowest computed polymorph: 0.128 eV/atom


No. 22
## Mn3PPb (PBE-GGA)

Data for a relaxed Mn3PPb crystal.

abc: 5.130 5.130 5.130
angles: 90.00 90.00 90.00
Space group Pm-3m (No. 221)
One atom of each set of equivalent atoms:
Mn1 0.000 0.000 0.500 (multiplicity 3)
P1 0.500 0.500 0.500 (multiplicity 1)
Pb1 0.000 0.000 0.000 (multiplicity 1)

Calculated volume: 135 Å³/cell
ΔE to the lowest computed polymorph: 1.310 eV/atom


No. 23
## CeTh8Ru2 (PBE-GGA)

Data for a relaxed CeTh8Ru2 crystal.

abc: 15.192 6.879 6.318
angles: 90.00 98.30 90.00
Space group C2/m (No. 12)
One atom of each set of equivalent atoms:
Ce1 0.000 0.000 0.000 (multiplicity 2)
Th1 0.082 0.500 0.873 (multiplicity 4)
Th2 0.121 0.251 0.383 (multiplicity 8)
Th3 0.203 0.000 0.872 (multiplicity 4)
Ru1 0.230 0.500 0.671 (multiplicity 4)

Calculated volume: 653 Å³/cell
E: -7.71 eV per atom


No. 24
## MoH2 (PBE-GGA)

Data for a relaxed MoH2 crystal.

abc: 5.772 5.772 5.772
angles: 90.00 90.00 90.00
Space group Fd-3m (No. 227, origin choice 2)
One atom of each set of equivalent atoms:
Mo1 0.125 0.125 0.125 (multiplicity 8)
H1 0.000 0.000 0.500 (multiplicity 16)

Calculated volume: 192 Å³/cell
ΔE to the lowest computed polymorph: 0.694 eV/atom


No. 25
## LiGa (PBE-GGA)

Data for a relaxed LiGa crystal.

abc: 4.5320 4.5320 5.0852
angles: 90.00 90.00 120.00
Space group P6_3/mmc (No. 194)
One atom of each set of equivalent atoms:
Li1 0.3333 0.6667 0.2500 (multiplicity 2)
Ga1 0.3333 0.6667 0.7500 (multiplicity 2)

Calculated volume: 90 Å³/cell
E: -2.20 eV per atom


No. 26
## K2NaTl6Pd (PBE-GGA)

Data for a relaxed K2NaTl6Pd crystal.

abc: 13.853 4.958 9.768
angles: 90.00 101.86 90.00
Space group C2/m (No. 12)
One atom of each set of equivalent atoms:
K1 0.213 0.000 0.174 (multiplicity 4)
Na1 0.000 0.500 0.000 (multiplicity 2)
Tl1 0.050 0.500 0.363 (multiplicity 4)
Tl2 0.068 0.000 0.808 (multiplicity 4)
Tl3 0.203 0.000 0.566 (multiplicity 4)
Pd1 0.000 0.000 0.500 (multiplicity 2)

Calculated volume: 657 Å³/cell
E: -2.39 eV per atom